Record 1
DFT (PBE) results for a geometry-optimized GeCSCl2 structure.

Cell lengths 4.8308, 4.8308, 4.9273 Å; angles 90.00, 90.00, 90.00 degrees
Last column: nearest neighbours and their distance in Å.
Fractional coordinates of all 5 atoms:
Ge (0.0000, 0.0000, 0.0000)  4 Cl 2.42, 2 S 2.46
C (0.5000, 0.5000, 0.5000)  4 S 3.42, 8 Cl 3.45
S (0.0000, 0.0000, 0.5000)  2 Ge 2.46
Cl (0.0000, 0.5000, 0.0000)  2 Ge 2.42
Cl (0.5000, 0.0000, 0.0000)  2 Ge 2.42

Results
Formation energy (no corrections) (meV per atom): 1345
Calculated volume (Å³/cell): 115.0
Energy above the most stable polymorph in this dataset (meV per atom): 428
Raw total energy (eV per cell): -14.94

=====

Record 2
DFT (PBE) results for a geometry-optimized TaZn2Te structure.

Cell lengths 3.0955, 4.9290, 5.1370 Å; angles 90.00, 100.69, 90.00 degrees
Last column: nearest neighbours and their distance in Å.
Fractional coordinates of all 4 atoms:
Ta (0.0000, 0.0000, 0.0000)  2 Te 2.74, 4 Zn 2.85
Zn (0.2258, 0.5000, 0.7822)  2 Zn 2.55-2.85, 2 Ta 2.85
Zn (0.7742, 0.5000, 0.2178)  2 Zn 2.55-2.85, 2 Ta 2.85
Te (0.5000, 0.0000, 0.5000)  2 Ta 2.74, 4 Zn 3.06

Results
Formation energy (no corrections) (meV per atom): 387
Calculated volume (Å³/cell): 77.0
Raw total energy (eV per cell): -15.99

=====

Record 3
DFT (PBE) results for a geometry-optimized Zn2TeAs structure.

Cell lengths 4.9461, 4.2872, 4.2872 Å; angles 76.41, 90.00, 90.00 degrees
Last column: nearest neighbours and their distance in Å.
Fractional coordinates of all 4 atoms:
Zn (0.0000, 0.0000, 0.0000)  3 As 2.54-2.78, 2 Te 2.79
Zn (0.5000, 0.2240, 0.2240)  2 As 2.68, 3 Te 2.71-2.81, 2 Zn 2.90
Te (0.5000, 0.8077, 0.8077)  5 Zn 2.71-2.81
As (0.0000, 0.3777, 0.3777)  5 Zn 2.54-2.78

Results
Formation energy (no corrections) (meV per atom): -30
Calculated volume (Å³/cell): 88.4
Energy above the most stable polymorph in this dataset (meV per atom): 148
Raw total energy (eV per cell): -10.46

=====

Record 4
DFT (PBE) results for a geometry-optimized Tb6ErTl3 structure.

Cell lengths 10.2430, 5.2039, 11.4484 Å; angles 90.00, 102.68, 90.00 degrees
Last column: nearest neighbours and their distance in Å.
Fractional coordinates of all 20 atoms:
Tb (0.0637, 0.2500, 0.4079)  6 Tl 3.23-3.43, 1 Tb 3.60
Tb (0.1538, 0.7500, 0.1834)  5 Tl 3.18-3.33, 1 Er 3.50, 2 Tb 3.55
Tb (0.2335, 0.2500, 0.9892)  4 Tl 3.30-3.35, 3 Er 3.48-3.52, 5 Tb 3.48-3.67
Tb (0.3067, 0.7500, 0.7866)  3 Tl 3.28-3.29, 3 Tb 3.50-3.56, 3 Er 3.55-3.59
Tb (0.3830, 0.2500, 0.2936)  8 Tb 3.48-3.78, 3 Tl 3.50-3.88, 2 Er 3.65
Tb (0.3903, 0.2500, 0.6041)  3 Tl 3.13-3.23, 1 Er 3.44
Tb (0.6097, 0.7500, 0.3959)  3 Tl 3.13-3.23, 1 Er 3.44
Tb (0.6170, 0.7500, 0.7064)  8 Tb 3.48-3.78, 3 Tl 3.50-3.88, 2 Er 3.65
Tb (0.6933, 0.2500, 0.2134)  3 Tl 3.28-3.29, 3 Tb 3.50-3.56, 3 Er 3.55-3.59
Tb (0.7665, 0.7500, 0.0108)  4 Tl 3.30-3.35, 3 Er 3.48-3.52, 5 Tb 3.48-3.67
Tb (0.8462, 0.2500, 0.8166)  5 Tl 3.18-3.33, 1 Er 3.50, 2 Tb 3.55
Tb (0.9363, 0.7500, 0.5921)  6 Tl 3.23-3.43, 1 Tb 3.60
Er (0.4602, 0.7500, 0.0961)  10 Tb 3.44-3.65, 2 Er 3.61
Er (0.5398, 0.2500, 0.9039)  10 Tb 3.44-3.65, 2 Er 3.61
Tl (0.0329, 0.7500, 0.8904)  8 Tb 3.23-3.35
Tl (0.1140, 0.2500, 0.6966)  8 Tb 3.23-3.33
Tl (0.2874, 0.7500, 0.4622)  5 Tb 3.13-3.43
Tl (0.7126, 0.2500, 0.5378)  5 Tb 3.13-3.43
Tl (0.8860, 0.7500, 0.3034)  8 Tb 3.23-3.33
Tl (0.9671, 0.2500, 0.1096)  8 Tb 3.23-3.35

Results
Energy relative to the elements (eV/atom): -0.19
Calculated volume (Å³/cell): 595.4
Raw total energy (eV per cell): -82.73

=====

Record 5
DFT (PBE) results for a geometry-optimized UPa3Ga12 structure.

Cell lengths 4.2908, 4.2908, 17.1823 Å; angles 90.00, 90.00, 90.00 degrees
Last column: nearest neighbours and their distance in Å.
Fractional coordinates of all 16 atoms:
U (0.0000, 0.0000, 0.0000)  12 Ga 3.02-3.03
Pa (0.0000, 0.0000, 0.2493)  12 Ga 3.03-3.05
Pa (0.0000, 0.0000, 0.5000)  12 Ga 3.03-3.04
Pa (0.0000, 0.0000, 0.7507)  12 Ga 3.03-3.05
Ga (0.0000, 0.5000, 0.1234)  2 U 3.02, 8 Ga 3.02-3.05, 2 Pa 3.05
Ga (0.0000, 0.5000, 0.3747)  8 Ga 3.03-3.04, 4 Pa 3.04
Ga (0.0000, 0.5000, 0.6253)  8 Ga 3.03-3.04, 4 Pa 3.04
Ga (0.0000, 0.5000, 0.8766)  2 U 3.02, 8 Ga 3.02-3.05, 2 Pa 3.05
Ga (0.5000, 0.0000, 0.1234)  2 U 3.02, 8 Ga 3.02-3.05, 2 Pa 3.05
Ga (0.5000, 0.0000, 0.3747)  8 Ga 3.03-3.04, 4 Pa 3.04
Ga (0.5000, 0.0000, 0.6253)  8 Ga 3.03-3.04, 4 Pa 3.04
Ga (0.5000, 0.0000, 0.8766)  2 U 3.02, 8 Ga 3.02-3.05, 2 Pa 3.05
Ga (0.5000, 0.5000, 0.0000)  8 Ga 3.02, 4 U 3.03
Ga (0.5000, 0.5000, 0.2496)  4 Pa 3.03, 8 Ga 3.04-3.05
Ga (0.5000, 0.5000, 0.5000)  4 Pa 3.03, 8 Ga 3.04
Ga (0.5000, 0.5000, 0.7504)  4 Pa 3.03, 8 Ga 3.04-3.05

Results
Energy relative to the elements (eV/atom): -0.34
Calculated volume (Å³/cell): 316.3
Raw total energy (eV per cell): -81.52

=====

Record 6
DFT (PBE) results for a geometry-optimized NaLiGa2Co structure.

Cell lengths 4.5406, 4.5406, 4.7829 Å; angles 90.00, 90.00, 90.00 degrees
Last column: nearest neighbours and their distance in Å.
Fractional coordinates of all 5 atoms:
Na (0.0000, 0.0000, 0.0000)  4 Li 3.21, 8 Ga 3.30
Li (0.5000, 0.5000, 0.0000)  2 Co 2.39
Ga (0.0000, 0.5000, 0.5000)  2 Co 2.27
Ga (0.5000, 0.0000, 0.5000)  2 Co 2.27
Co (0.5000, 0.5000, 0.5000)  4 Ga 2.27, 2 Li 2.39

Results
Energy relative to the elements (eV/atom): -0.09
Calculated volume (Å³/cell): 98.6
Raw total energy (eV per cell): -16.85

=====

Record 7
DFT (PBE) results for a geometry-optimized Nd6TeRu2 structure.

Cell lengths 5.8000, 5.8000, 9.7749 Å; angles 98.01, 98.01, 52.51 degrees
Last column: nearest neighbours and their distance in Å.
Fractional coordinates of all 9 atoms:
Nd (0.0337, 0.0337, 0.3330)  2 Ru 3.06, 3 Nd 3.20-3.31, 1 Te 3.22
Nd (0.2803, 0.2803, 0.6415)  3 Ru 2.81-3.14
Nd (0.3424, 0.3424, 0.1162)  1 Ru 2.74
Nd (0.6576, 0.6576, 0.8838)  1 Ru 2.74
Nd (0.7197, 0.7197, 0.3585)  3 Ru 2.81-3.14
Nd (0.9663, 0.9663, 0.6670)  2 Ru 3.06, 3 Nd 3.20-3.31, 1 Te 3.22
Te (0.0000, 0.0000, 0.0000)  8 Nd 3.22-3.57
Ru (0.3948, 0.3948, 0.3999)  1 Ru 2.70, 2 Nd 2.74-2.81
Ru (0.6052, 0.6052, 0.6001)  1 Ru 2.70, 2 Nd 2.74-2.81

Results
Formation energy (no corrections) (meV per atom): -347
Calculated volume (Å³/cell): 257.7
Raw total energy (eV per cell): -53.43

=====

Record 8
DFT (PBE) results for a geometry-optimized Ho6MgZn5 structure.

Cell lengths 8.0162, 8.0162, 7.1958 Å; angles 90.00, 90.00, 143.26 degrees
Last column: nearest neighbours and their distance in Å.
Fractional coordinates of all 12 atoms:
Ho (0.0000, 0.0000, 0.2391)  6 Zn 3.04-3.06, 2 Mg 3.15
Ho (0.0000, 0.0000, 0.7609)  6 Zn 3.04-3.06, 2 Mg 3.15
Ho (0.3289, 0.6711, 0.2472)  7 Zn 3.07-3.18, 1 Mg 3.18
Ho (0.3289, 0.6711, 0.7528)  7 Zn 3.07-3.18, 1 Mg 3.18
Ho (0.6711, 0.3289, 0.2472)  7 Zn 3.07-3.18, 1 Mg 3.18
Ho (0.6711, 0.3289, 0.7528)  7 Zn 3.07-3.18, 1 Mg 3.18
Mg (0.5000, 0.5000, 0.5000)  8 Ho 3.15-3.18, 4 Zn 3.48
Zn (0.1574, 0.8426, 0.5000)  8 Ho 3.04-3.18
Zn (0.1648, 0.8352, 0.0000)  8 Ho 3.04-3.09
Zn (0.5000, 0.5000, 0.0000)  8 Ho 3.06-3.15
Zn (0.8352, 0.1648, 0.0000)  8 Ho 3.04-3.09
Zn (0.8426, 0.1574, 0.5000)  8 Ho 3.04-3.18

Results
Energy relative to the elements (eV/atom): -0.29
Calculated volume (Å³/cell): 276.6
Raw total energy (eV per cell): -38.92

=====

Record 9
DFT (PBE) results for a geometry-optimized Hf6AsN structure.

Cell lengths 5.6648, 5.6648, 5.8577 Å; angles 99.26, 99.26, 116.41 degrees
Last column: nearest neighbours and their distance in Å.
Fractional coordinates of all 8 atoms:
Hf (0.0322, 0.3788, 0.2294)  1 N 2.26
Hf (0.2427, 0.2427, 0.7857)  1 N 2.19
Hf (0.3788, 0.0322, 0.2294)  1 N 2.26
Hf (0.6212, 0.9678, 0.7706)  1 N 2.26
Hf (0.7573, 0.7573, 0.2143)  1 N 2.19
Hf (0.9678, 0.6212, 0.7706)  1 N 2.26
As (0.5000, 0.5000, 0.5000)  6 Hf 2.59
N (0.0000, 0.0000, 0.0000)  6 Hf 2.19-2.26

Results
Formation energy (no corrections) (meV per atom): -550
Calculated volume (Å³/cell): 160.3
Raw total energy (eV per cell): -77.09

=====

Record 10
DFT (PBE) results for a geometry-optimized Ho3CdAu structure.

Cell lengths 3.7146, 9.3778, 9.3778 Å; angles 63.53, 90.00, 90.00 degrees
Last column: nearest neighbours and their distance in Å.
Fractional coordinates of all 10 atoms:
Ho (0.0000, 0.0000, 0.0000)  2 Au 2.84, 2 Cd 3.18
Ho (0.0000, 0.3233, 0.3233)  2 Au 2.84, 2 Cd 3.18
Ho (0.5000, 0.3521, 0.7480)  2 Au 2.93, 2 Cd 3.23
Ho (0.5000, 0.5741, 0.9706)  2 Au 2.93, 2 Cd 3.23
Ho (0.5000, 0.7480, 0.3521)  2 Au 2.93, 2 Cd 3.23
Ho (0.5000, 0.9706, 0.5741)  2 Au 2.93, 2 Cd 3.23
Cd (0.0000, 0.6613, 0.6613)  8 Ho 3.23
Cd (0.5000, 0.1616, 0.1616)  8 Ho 3.18-3.47
Au (0.0000, 0.1610, 0.6616)  6 Ho 2.84-2.93
Au (0.0000, 0.6616, 0.1610)  6 Ho 2.84-2.93

Results
Energy relative to the elements (eV/atom): -0.28
Calculated volume (Å³/cell): 292.4
Energy above the most stable polymorph in this dataset (meV per atom): 154
Raw total energy (eV per cell): -38.62

=====

Record 11
DFT (PBE) results for a geometry-optimized LaNdCoRu structure.

Cell lengths 4.9855, 4.9855, 4.9855 Å; angles 60.00, 60.00, 60.00 degrees
Last column: nearest neighbours and their distance in Å.
Fractional coordinates of all 4 atoms:
La (0.0000, 0.0000, 0.0000)  4 Co 3.05, 4 Ru 3.05
Nd (0.5000, 0.5000, 0.5000)  4 Co 3.05, 4 Ru 3.05
Co (0.2500, 0.2500, 0.2500)  4 La 3.05, 4 Nd 3.05
Ru (0.7500, 0.7500, 0.7500)  4 La 3.05, 4 Nd 3.05

Results
Energy relative to the elements (eV/atom): 0.00
Calculated volume (Å³/cell): 87.6
Raw total energy (eV per cell): -26.07

=====

Record 12
DFT (PBE) results for a geometry-optimized PmZnRh4 structure.

Cell lengths 5.2642, 5.2642, 5.2642 Å; angles 60.00, 60.00, 60.00 degrees
Last column: nearest neighbours and their distance in Å.
Fractional coordinates of all 6 atoms:
Pm (0.0000, 0.0000, 0.0000)  12 Rh 3.09, 4 Zn 3.22
Zn (0.2500, 0.2500, 0.2500)  12 Rh 3.08, 4 Pm 3.22
Rh (0.1271, 0.6243, 0.6243)  6 Rh 2.62-2.65
Rh (0.6243, 0.1271, 0.6243)  6 Rh 2.62-2.65
Rh (0.6243, 0.6243, 0.1271)  6 Rh 2.62-2.65
Rh (0.6243, 0.6243, 0.6243)  6 Rh 2.62-2.65

Results
Energy relative to the elements (eV/atom): -0.36
Calculated volume (Å³/cell): 103.2
Energy above the most stable polymorph in this dataset (meV per atom): 0
Raw total energy (eV per cell): -37.59

=====

| no. | calculated density (g cm⁻³) |
| --- | --- |
| 1 | 2.710 |
| 2 | 9.473 |
| 3 | 6.264 |
| 4 | 9.672 |
| 5 | 9.280 |
| 6 | 3.845 |
| 7 | 7.700 |
| 8 | 8.050 |
| 9 | 12.014 |
| 10 | 9.133 |
| 11 | 8.398 |
| 12 | 10.013 |